(1)
VASP calculation (PBE) on a geometry-optimized PuNbReTc structure.

SG: F-43m, No. 216
density: 14.7 g cm⁻³
formation energy from the elements: 7 kJ/mol of formula units
total moment: 0.9962 μB/atom

Cell: 4.632 4.632 4.632 Å, 60.00 60.00 60.00°
Fractional coordinates of all 4 atoms:
Tc 0.250 0.250 0.250
Nb 0.000 0.000 0.000
Re 0.750 0.750 0.750
Pu 0.500 0.500 0.500

---

(2)
VASP calculation (PBE) on a geometry-optimized CuSnPd2 structure.

SG: P4/mmm, No. 123
density: 10.2 g cm⁻³
formation energy from the elements: -115 kJ/mol of formula units
total moment: 0.0000 μB/atom

Cell: 3.346 3.346 5.758 Å, 90.00 90.00 90.00°
Fractional coordinates of all 4 atoms:
Sn 0.500 0.500 0.500
Pd 0.000 0.000 0.242
Cu 0.500 0.500 0.000
Pd 0.000 0.000 0.758

---

(3)
VASP calculation (PBE) on a geometry-optimized RbIn3Pd structure.

SG: P2_1/c, No. 14
density: 6.1 g cm⁻³
formation energy from the elements: -104 kJ/mol of formula units
distance to the lowest polymorph of the same formula: 0 meV per atom
total moment: 0.0000 μB/atom

Cell: 6.337 10.192 9.587 Å, 109.99 90.00 90.00°
Fractional coordinates of all 20 atoms:
In 0.431 0.583 0.182
Rb 0.452 0.700 0.599
Pd 0.179 0.535 0.920
In 0.951 0.571 0.686
In 0.931 0.917 0.818
In 0.828 0.707 0.019
Pd 0.679 0.965 0.080
Pd 0.321 0.035 0.920
In 0.172 0.293 0.981
In 0.049 0.429 0.314
Rb 0.548 0.300 0.401
In 0.672 0.207 0.019
Pd 0.821 0.465 0.080
Rb 0.048 0.200 0.599
In 0.549 0.071 0.686
In 0.328 0.793 0.981
In 0.451 0.929 0.314
In 0.069 0.083 0.182
In 0.569 0.417 0.818
Rb 0.952 0.800 0.401

---

(4)
VASP calculation (PBE) on a geometry-optimized Y2TcRh structure.

SG: P4/mmm, No. 123
density: 7.7 g cm⁻³
formation energy from the elements: -116 kJ/mol of formula units
total moment: 0.1226 μB/atom

Cell: 3.435 3.437 6.908 Å, 90.00 90.00 90.00°
Fractional coordinates of all 4 atoms:
Rh 0.500 0.500 0.250
Y 0.000 0.000 0.501
Y 0.000 0.000 0.999
Tc 0.500 0.500 0.750

---

(5)
VASP calculation (PBE) on a geometry-optimized TiReAs2Br structure.

formation energy without anion corrections: 1001 meV/atom
SG: P4/mmm, No. 123
density: 6.4 g cm⁻³
distance to the lowest polymorph of the same formula: 278 meV per atom
total moment: 0.9267 μB/atom

Cell: 4.976 4.976 4.863 Å, 90.00 90.00 90.00°
Fractional coordinates of all 5 atoms:
As 0.000 0.500 0.000
Br 0.000 0.000 0.500
Re 0.500 0.500 0.500
As 0.500 0.000 0.000
Ti 0.000 0.000 0.000

---

(6)
VASP calculation (PBE) on a geometry-optimized LiInSnBr6 structure.

formation energy without anion corrections: -927 meV/atom
SG: P-31c, No. 163
density: 4.3 g cm⁻³
total moment: 0.0000 μB/atom

Cell: 7.005 7.005 13.038 Å, 90.00 90.00 120.00°
Fractional coordinates of all 18 atoms:
Li 0.333 0.667 0.250
Br 0.357 0.354 0.369
In 0.333 0.667 0.750
Br 0.354 0.997 0.631
Br 0.997 0.643 0.369
Br 0.643 0.997 0.869
Sn 0.000 0.000 0.500
Li 0.667 0.333 0.750
Br 0.643 0.646 0.631
Br 0.646 0.643 0.131
In 0.667 0.333 0.250
Br 0.003 0.357 0.631
Br 0.354 0.357 0.869
Sn 0.000 0.000 0.000
Br 0.003 0.646 0.869
Br 0.357 0.003 0.131
Br 0.646 0.003 0.369
Br 0.997 0.354 0.131

---

(7)
VASP calculation (PBE) on a geometry-optimized Be4GaRh structure.

SG: F-43m, No. 216
density: 6.0 g cm⁻³
formation energy from the elements: -230 kJ/mol of formula units
total moment: 0.0000 μB/atom

Cell: 4.341 4.341 4.341 Å, 60.00 60.00 60.00°
Fractional coordinates of all 6 atoms:
Be 0.124 0.626 0.626
Be 0.626 0.124 0.626
Ga 0.250 0.250 0.250
Be 0.626 0.626 0.124
Rh 0.000 0.000 0.000
Be 0.626 0.626 0.626

---

(8)
VASP calculation (PBE) on a geometry-optimized Ce3Dy2Th2 structure.

SG: C2/m, No. 12
density: 9.5 g cm⁻³
formation energy from the elements: 52 kJ/mol of formula units
total moment: 0.1956 μB/atom

Cell: 4.920 6.055 9.233 Å, 57.40 74.55 66.03°
Fractional coordinates of all 7 atoms:
Ce 0.647 0.135 0.571
Th 0.213 0.718 0.855
Dy 0.071 0.574 0.284
Th 0.787 0.282 0.145
Ce 0.353 0.865 0.429
Dy 0.929 0.426 0.716
Ce 0.500 0.000 0.000

---

(9)
VASP calculation (PBE) on a geometry-optimized Rb2RuCl structure.

formation energy without anion corrections: 385 meV/atom
SG: Fm-3m, No. 225
density: 3.4 g cm⁻³
distance to the lowest polymorph of the same formula: 244 meV per atom
total moment: 0.7500 μB/atom

Cell: 5.976 5.976 5.976 Å, 60.00 60.00 60.00°
Fractional coordinates of all 4 atoms:
Rb 0.750 0.750 0.750
Ru 0.500 0.500 0.500
Rb 0.250 0.250 0.250
Cl 0.000 0.000 0.000

---

(10)
VASP calculation (PBE) on a geometry-optimized Ho2In2Hg3 structure.

SG: Cmmm, No. 65
density: 10.8 g cm⁻³
formation energy from the elements: -177 kJ/mol of formula units
total moment: 0.0000 μB/atom

Cell: 3.474 4.558 11.478 Å, 101.45 90.00 90.00°
Fractional coordinates of all 7 atoms:
Ho 0.000 0.146 0.292
Hg 0.000 0.000 0.000
In 0.500 0.288 0.576
Hg 0.500 0.572 0.143
Ho 0.000 0.854 0.708
In 0.500 0.712 0.424
Hg 0.500 0.428 0.857

---

(11)
VASP calculation (PBE) on a geometry-optimized Cd2TcTe structure.

formation energy without anion corrections: 253 meV/atom
SG: Amm2, No. 38
density: 7.8 g cm⁻³
total moment: 0.0929 μB/atom

Cell: 3.322 4.280 7.065 Å, 72.35 90.00 90.00°
Fractional coordinates of all 4 atoms:
Cd 0.000 0.926 0.022
Tc 0.000 0.722 0.431
Cd 0.500 0.279 0.318
Te 0.500 0.573 0.729

---

(12)
VASP calculation (PBE) on a geometry-optimized VSnCl3 structure.

formation energy without anion corrections: -33 meV/atom
SG: Pm-3m, No. 221
density: 2.8 g cm⁻³
total moment: 0.8044 μB/atom

Cell: 5.484 5.484 5.484 Å, 90.00 90.00 90.00°
Fractional coordinates of all 5 atoms:
Cl 0.000 0.000 0.500
Cl 0.000 0.500 0.000
Sn 0.000 0.000 0.000
V 0.500 0.500 0.500
Cl 0.500 0.000 0.000